Here is a geometry-optimized Pm6Nd3Tm2Mg structure from the Alexandria database. Energies are from PBE.

```
Pm6Nd3Tm2Mg
1.0
3.134 -5.435 0.000
3.134 5.435 0.000
-2.107 0.000 11.648
Pm Nd Tm Mg
6 3 2 1
Direct
0.079 0.412 0.243 Pm
0.253 0.253 0.756 Pm
0.412 0.079 0.243 Pm
0.588 0.921 0.757 Pm
0.747 0.747 0.244 Pm
0.921 0.588 0.757 Pm
0.167 0.833 0.500 Nd
0.500 0.500 0.500 Nd
0.833 0.167 0.500 Nd
0.334 0.666 0.000 Tm
0.666 0.334 0.000 Tm
0.000 0.000 0.000 Mg
```

Calculated values
space group: C2/m
total magnetic moment: 0.000 μB/atom
formation energy: 0.03 eV/atom